# 1
CaHg2Br after structural relaxation, computed with GGA-PBE.

Unit cell a=5.668 b=5.668 c=4.129 alpha=90.00 beta=90.00 gamma=116.44
Element x y z (fractional)
Ca  0.000  0.500  0.500
Hg  0.000  0.000  0.000
Hg  0.500  0.500  0.000
Br  0.500  0.000  0.500

## Properties
Relative energy among the computed polymorphs, meV per atom: 92
D(E_F), states/eV per atom: 0.279
Raw formation energy, eV per formula unit: -2.6
SG: Cmmm, No. 65
M_tot, μB/f.u.: 0.00

***

# 2
Cs3NdU2Se6 after structural relaxation, computed with GGA-PBE.

Unit cell a=7.479 b=7.479 c=8.788 alpha=98.15 beta=98.15 gamma=120.01
Site moments in Bohr magnetons follow the coordinates.
Element x y z (fractional)
Cs  0.164  0.836  0.500  0.00
Cs  0.836  0.164  0.500  0.00
Cs  0.500  0.500  0.500  0.00
Nd  0.000  0.000  0.000  0.12
U  0.333  0.667  0.000  2.67
U  0.667  0.333  0.000  2.67
Se  0.937  0.596  0.811  -0.04
Se  0.722  0.722  0.188  -0.04
Se  0.063  0.404  0.189  -0.04
Se  0.596  0.937  0.811  -0.04
Se  0.278  0.278  0.812  -0.04
Se  0.404  0.063  0.189  -0.04

## Properties
D(E_F), states/eV per atom: 0.947
Raw formation energy, eV per formula unit: -16.4
SG: C2/m, No. 12
M_tot, μB/f.u.: 6.01

***

# 3
HfPaTe3 after structural relaxation, computed with GGA-PBE.

Unit cell a=3.977 b=8.371 c=8.709 alpha=81.29 beta=90.00 gamma=90.01
Site moments in Bohr magnetons follow the coordinates.
Element x y z (fractional)
Hf  0.183  0.310  0.818  -0.04
Hf  0.683  0.550  0.589  -0.04
Pa  0.183  0.808  0.986  0.98
Pa  0.683  0.052  0.421  0.98
Te  0.683  0.059  0.795  -0.02
Te  0.183  0.802  0.611  -0.02
Te  0.683  0.732  0.265  -0.03
Te  0.683  0.521  0.929  -0.01
Te  0.183  0.129  0.141  -0.03
Te  0.183  0.339  0.477  -0.01

## Properties
Relative energy among the computed polymorphs, meV per atom: 0
D(E_F), states/eV per atom: 0.906
Raw formation energy, eV per formula unit: -3.7
SG: P2_1/m, No. 11
M_tot, μB/f.u.: 1.00

***

# 4
K2CaZnRu after structural relaxation, computed with GGA-PBE.

Unit cell a=5.954 b=5.954 c=4.947 alpha=90.00 beta=90.00 gamma=90.00
Element x y z (fractional)
K  0.000  0.500  0.000
K  0.500  0.000  0.000
Ru  0.000  0.000  0.500
Zn  0.000  0.000  0.000
Ca  0.500  0.500  0.500

## Properties
DFT total energy, eV/atom: -2.143
D(E_F), states/eV per atom: 2.109
SG: P4/mmm, No. 123
M_tot, μB/f.u.: 0.02

***

# 5
Sc2ZnRe2 after structural relaxation, computed with GGA-PBE.

Unit cell a=6.632 b=6.632 c=4.214 alpha=90.00 beta=90.00 gamma=90.00
Site moments in Bohr magnetons follow the coordinates.
Element x y z (fractional)
Sc  0.173  0.673  0.500  0.07
Sc  0.673  0.827  0.500  0.07
Sc  0.827  0.327  0.500  0.07
Sc  0.327  0.173  0.500  0.07
Re  0.372  0.872  0.000  0.23
Re  0.872  0.628  0.000  0.23
Re  0.628  0.128  0.000  0.23
Re  0.128  0.372  0.000  0.23
Zn  0.000  0.000  0.000  0.00
Zn  0.500  0.500  0.000  0.00

## Properties
DFT total energy, eV/atom: -7.734
D(E_F), states/eV per atom: 0.886
SG: P4/mbm, No. 127
M_tot, μB/f.u.: 0.73

***

# 6
Li2SmTmTl4 after structural relaxation, computed with GGA-PBE.

Unit cell a=5.200 b=5.200 c=9.003 alpha=73.21 beta=73.21 gamma=60.00
Element x y z (fractional)
Li  0.751  0.751  0.748
Li  0.249  0.249  0.252
Sm  0.000  0.000  0.000
Tm  0.500  0.500  0.500
Tl  0.377  0.377  0.869
Tl  0.873  0.873  0.380
Tl  0.127  0.127  0.620
Tl  0.623  0.623  0.131

## Properties
DFT total energy, eV/atom: -3.124
D(E_F), states/eV per atom: 0.212
SG: R-3m, No. 166
M_tot, μB/f.u.: 0.00

***

# 7
LiCa2FeC after structural relaxation, computed with GGA-PBE.

Unit cell a=5.169 b=5.169 c=3.695 alpha=90.00 beta=90.00 gamma=90.00
Site moments in Bohr magnetons follow the coordinates.
Element x y z (fractional)
C  0.000  0.000  0.000  -0.03
Ca  0.000  0.500  0.000  -0.02
Ca  0.500  0.000  0.000  -0.02
Fe  0.000  0.000  0.500  0.45
Li  0.500  0.500  0.500  -0.02

## Properties
DFT total energy, eV/atom: -4.589
D(E_F), states/eV per atom: 0.988
SG: P4/mmm, No. 123
M_tot, μB/f.u.: 0.20

***

# 8
Pm6HoTm5 after structural relaxation, computed with GGA-PBE.

Unit cell a=5.080 b=9.984 c=9.448 alpha=121.89 beta=105.59 gamma=90.01
Element x y z (fractional)
Tm  0.667  0.167  0.333
Tm  0.333  0.333  0.666
Tm  0.000  0.500  0.000
Tm  0.667  0.667  0.334
Tm  0.333  0.833  0.667
Ho  0.000  0.000  0.000
Pm  0.833  0.583  0.667
Pm  0.833  0.084  0.667
Pm  0.500  0.749  0.000
Pm  0.500  0.251  0.000
Pm  0.167  0.916  0.333
Pm  0.167  0.417  0.333

## Properties
DFT total energy, eV/atom: -4.601
D(E_F), states/eV per atom: 1.332
SG: Immm, No. 71
M_tot, μB/f.u.: 0.00

***

# 9
TcSb2IO after structural relaxation, computed with GGA-PBE.

Unit cell a=5.078 b=5.078 c=5.392 alpha=90.00 beta=90.00 gamma=90.00
Element x y z (fractional)
I  0.000  0.000  0.500
Sb  0.000  0.500  0.000
Sb  0.500  0.000  0.000
Tc  0.000  0.000  0.000
O  0.500  0.500  0.500

## Properties
Relative energy among the computed polymorphs, meV per atom: 223
D(E_F), states/eV per atom: 1.600
Raw formation energy, eV per formula unit: 4.3
SG: P4/mmm, No. 123
M_tot, μB/f.u.: 0.00

***

# 10
Na2PuMg2O6 after structural relaxation, computed with GGA-PBE.

Unit cell a=5.445 b=5.445 c=5.912 alpha=99.71 beta=99.71 gamma=119.29
Site moments in Bohr magnetons follow the coordinates.
Element x y z (fractional)
Na  0.823  0.177  0.000  0.00
Na  0.177  0.823  0.000  0.00
Pu  0.000  0.000  0.500  2.44
Mg  0.335  0.665  0.500  0.00
Mg  0.665  0.335  0.500  0.00
O  0.750  0.750  0.693  -0.07
O  0.060  0.393  0.696  -0.07
O  0.250  0.250  0.307  -0.07
O  0.393  0.060  0.696  -0.07
O  0.940  0.607  0.304  -0.07
O  0.607  0.940  0.304  -0.07

## Properties
D(E_F), states/eV per atom: 0.656
Raw formation energy, eV per formula unit: -26.1
SG: C2/m, No. 12
M_tot, μB/f.u.: 2.00

***

# 11
TbAgSnS4 after structural relaxation, computed with GGA-PBE.

Unit cell a=7.772 b=7.860 c=7.860 alpha=60.89 beta=60.37 gamma=60.37
Element x y z (fractional)
Tb  0.000  0.000  0.000
Tb  0.000  0.500  0.500
Ag  0.622  0.628  0.128
Ag  0.378  0.372  0.872
Sn  0.500  0.000  0.500
Sn  0.000  0.000  0.500
S  0.749  0.775  0.726
S  0.251  0.774  0.725
S  0.749  0.226  0.275
S  0.251  0.225  0.274
S  0.223  0.767  0.267
S  0.743  0.767  0.267
S  0.257  0.233  0.733
S  0.777  0.233  0.733

## Properties
D(E_F), states/eV per atom: 0.098
Raw formation energy, eV per formula unit: -6.3
SG: Imma, No. 74
M_tot, μB/f.u.: 0.00

***

# 12
NdHg2Pb after structural relaxation, computed with GGA-PBE.

Unit cell a=4.837 b=4.837 c=6.686 alpha=68.79 beta=68.79 gamma=60.00
Element x y z (fractional)
Nd  0.675  0.675  0.974
Hg  0.083  0.083  0.751
Hg  0.253  0.253  0.240
Pb  0.488  0.488  0.535

## Properties
DFT total energy, eV/atom: -2.493
D(E_F), states/eV per atom: 0.758
SG: R3m, No. 160
M_tot, μB/f.u.: 0.00